Record 1
# Sr2CrOs

A crystal of Sr2CrOs relaxed with PBEsol (meta-GGA SCAN, Alexandria).

ΔE to the lowest computed polymorph = 0.000 eV/atom
DOS at the Fermi energy = 1.87 states/eV per cell
DFT formation energy = 198 meV/atom
final energy = -33.506 eV per atom

Lattice parameters (Å, degrees): 4.055 4.055 8.855 76.76 76.76 60.00
Each line ends with the local moment (μB).
Fractional coordinates of all 4 atoms:
Sr1 0.214 0.214 0.358  0.01
Sr2 0.036 0.036 0.893  0.01
Os1 0.792 0.792 0.624  -0.44
Cr1 0.458 0.458 0.627  2.29

***

Record 2
# CdPtBr

A crystal of CdPtBr relaxed with PBEsol (meta-GGA SCAN, Alexandria).

ΔE to the lowest computed polymorph = 0.400 eV/atom
DOS at the Fermi energy = 1.54 states/eV per cell
ΔE_f (raw) = 648.8 meV/atom
final energy = -39.374 eV per atom

Lattice parameters (Å, degrees): 4.522 4.522 4.522 60.00 60.00 60.00
Fractional coordinates of all 3 atoms:
Br1 0.250 0.250 0.250
Cd1 0.000 0.000 0.000
Pt1 0.500 0.500 0.500

***

Record 3
# Zr2PdNCl

A crystal of Zr2PdNCl relaxed with PBEsol (meta-GGA SCAN, Alexandria).

DOS at the Fermi energy = 3.22 states/eV per cell
ΔE_f (raw) = 1213.5 meV/atom
final energy = -21.075 eV per atom

Lattice parameters (Å, degrees): 4.447 4.980 4.980 90.00 90.00 90.00
Fractional coordinates of all 5 atoms:
Cl1 0.500 0.000 0.000
Zr1 0.000 0.500 0.000
Pd1 0.000 0.000 0.000
N1 0.500 0.500 0.500
Zr2 0.000 0.000 0.500

***

Record 4
# Hg2IrSe

A crystal of Hg2IrSe relaxed with PBEsol (meta-GGA SCAN, Alexandria).

DOS at the Fermi energy = 2.00 states/eV per cell
ΔE_f (raw) = 629.0 meV/atom
final energy = -56.248 eV per atom

Lattice parameters (Å, degrees): 3.175 4.620 5.103 90.00 90.00 90.29
Fractional coordinates of all 4 atoms:
Ir1 0.000 0.000 0.500
Se1 0.500 0.500 0.500
Hg1 0.754 0.754 0.000
Hg2 0.246 0.246 0.000